(1)
VASP calculation (PBE-GGA) on a relaxed Sc4InCuRu2 crystal.

Unit cell a=4.673 b=4.673 c=8.128 alpha=73.29 beta=73.29 gamma=60.00
Positions (direct):
Sc 0.619 0.619 0.144
Sc 0.130 0.130 0.611
Sc 0.870 0.870 0.389
Sc 0.381 0.381 0.856
Cu 0.500 0.500 0.500
Ru 0.749 0.749 0.753
Ru 0.251 0.251 0.247
In 0.000 0.000 0.000



(2)
VASP calculation (PBE-GGA) on a relaxed ThUSnRu3 crystal.

Unit cell a=5.582 b=6.250 c=8.597 alpha=111.32 beta=90.00 gamma=90.00
Positions (direct):
Ru 0.000 0.716 0.000
Ru 0.250 0.218 0.435
Ru 0.500 0.284 0.000
Ru 0.750 0.782 0.565
Ru 0.500 0.716 0.000
Ru 0.000 0.284 0.000
U 0.250 0.066 0.131
U 0.750 0.934 0.869
Th 0.750 0.262 0.524
Th 0.250 0.738 0.476
Sn 0.750 0.619 0.239
Sn 0.250 0.381 0.761



(3)
VASP calculation (PBE-GGA) on a relaxed MnReN2Cl crystal.

Unit cell a=3.672 b=4.741 c=3.672 alpha=90.00 beta=90.00 gamma=90.00
Site moments in Bohr magnetons follow the coordinates.
Positions (direct):
Re 0.500 0.500 0.500  2.82
N 0.500 0.000 0.000  -0.27
N 0.000 0.000 0.500  -0.24
Cl 0.000 0.500 0.000  0.03
Mn 0.000 0.000 0.000  0.81

Properties
Energy relative to the elements, uncorrected (meV/atom): 1498.7



| no. | density of states at the Fermi level (states/eV/atom) | E (eV/atom) |
| --- | --- | --- |
| 1 | 0.55 | -6.790 |
| 2 | 0.78 | -8.495 |
| 3 | 0.86 | -6.524 |